*one*
{"formula": "NaPd2Au2", "functional": "PBE-GGA", "state": "relaxed", "lattice_angstrom": [[3.899, 0.000, 0.000], [0.000, 3.899, 0.000], [1.950, 1.950, 6.595]], "species": ["Na", "Au", "Au", "Pd", "Pd"], "fractional_positions": [[0.000, 0.000, 0.000], [0.399, 0.399, 0.202], [0.601, 0.601, 0.798], [0.750, 0.250, 0.500], [0.250, 0.750, 0.500]], "magnetic_moment_mub_per_cell": 0.0, "crystal_system": "tetragonal", "spacegroup": "No. 139"}

---

*two*
{"formula": "NaPd2Au2", "functional": "PBE-GGA", "state": "relaxed", "lattice_angstrom": [[4.057, 0.000, 0.000], [0.000, 4.057, 0.000], [2.029, 2.029, 6.252]], "species": ["Na", "Au", "Au", "Pd", "Pd"], "fractional_positions": [[0.000, 0.000, 0.000], [0.750, 0.250, 0.500], [0.250, 0.750, 0.500], [0.397, 0.397, 0.206], [0.603, 0.603, 0.794]], "magnetic_moment_mub_per_cell": 0.0, "crystal_system": "tetragonal", "spacegroup": "No. 139"}

---

*three*
{"formula": "NaPd2Au2", "functional": "PBE-GGA", "state": "relaxed", "lattice_angstrom": [[8.101, 0.000, 0.000], [0.000, 8.101, 0.000], [0.000, 0.000, 2.853]], "species": ["Na", "Na", "Au", "Au", "Au", "Au", "Pd", "Pd", "Pd", "Pd"], "fractional_positions": [[0.000, 0.000, 0.000], [0.500, 0.500, 0.000], [0.174, 0.674, 0.500], [0.674, 0.826, 0.500], [0.826, 0.326, 0.500], [0.326, 0.174, 0.500], [0.378, 0.878, 0.000], [0.878, 0.622, 0.000], [0.622, 0.122, 0.000], [0.122, 0.378, 0.000]], "magnetic_moment_mub_per_cell": 0.0, "crystal_system": "tetragonal", "spacegroup": "No. 127"}

---

Relative energies in eV/atom: *one* 0.141; *two* 0.234; *three* 0.000

---

*one*
{"formula": "Na6PdAu", "functional": "PBE-GGA", "state": "relaxed", "lattice_angstrom": [[-4.553, 0.489, -2.731], [-0.341, -8.179, 2.574], [-5.871, -1.790, 5.997]], "species": ["Na", "Na", "Na", "Na", "Na", "Na", "Pd", "Au"], "fractional_positions": [[0.146, 0.693, 0.000], [0.454, 0.307, 0.693], [0.854, 0.307, 0.000], [0.854, 0.000, 0.693], [0.546, 0.693, 0.307], [0.146, 0.000, 0.307], [0.000, 0.000, 0.000], [0.500, 0.000, 0.000]], "magnetic_moment_mub_per_cell": 0.0, "crystal_system": "trigonal", "spacegroup": "No. 166"}

---

*two*
{"formula": "Na6PdAu", "functional": "PBE-GGA", "state": "relaxed", "lattice_angstrom": [[6.721, 0.017, 0.013], [3.361, 5.835, 0.022], [3.356, 1.949, 6.751]], "species": ["Na", "Na", "Na", "Na", "Na", "Na", "Pd", "Au"], "fractional_positions": [[0.061, 0.429, 0.754], [0.755, 0.060, 0.755], [0.572, 0.245, 0.246], [0.245, 0.940, 0.245], [0.939, 0.571, 0.246], [0.428, 0.755, 0.754], [0.000, 0.000, 0.000], [0.500, 0.500, 0.500]], "magnetic_moment_mub_per_cell": 0.0, "crystal_system": "triclinic", "spacegroup": "No. 2"}

---

Relative energies in eV/atom: *one* 0.027; *two* 0.000